No. 1
HoTlGe2Br8 | PBE | optimized geometry

a b c (Å): 7.2987 6.6498 9.2858
angles (deg): 89.30 85.72 85.73
Element x y z (fractional)
Br 0.8223 0.2281 0.7946
Br 0.1404 0.7326 0.7783
Br 0.3600 0.2696 0.5532
Br 0.6400 0.7304 0.4468
Br 0.1777 0.7719 0.2054
Br 0.6844 0.7689 0.0298
Br 0.8596 0.2674 0.2217
Br 0.3156 0.2311 0.9702
Ge 0.4472 0.4564 0.7613
Ge 0.5528 0.5436 0.2387
Tl 0.0000 0.0000 0.5000
Ho 0.0000 0.0000 0.0000

Calculated values
spin magnetization	0.0000	μB/atom
ΔE_f (raw)	-1.012	eV/atom
crystal system	triclinic
raw total energy	-3.48	eV per atom


No. 2
Ag2AsF2 | PBE | optimized geometry

a b c (Å): 5.0642 5.0642 4.8460
angles (deg): 58.50 58.50 90.00
Element x y z (fractional)
F 0.3153 0.3153 0.3693
F 0.6847 0.6847 0.6307
Ag 0.7500 0.2500 0.5000
Ag 0.2500 0.7500 0.5000
As 0.0000 0.0000 0.0000

Calculated values
spin magnetization	0.0000	μB/atom
ΔE_f (raw)	-0.546	eV/atom
crystal system	tetragonal
raw total energy	-3.36	eV per atom
energy above the most stable polymorph in this dataset	0	meV per atom


No. 3
FeCSe3 | PBE | optimized geometry

a b c (Å): 4.2864 4.2864 4.2864
angles (deg): 90.00 90.00 90.00
Element x y z (fractional)
C 0.0000 0.0000 0.0000
Fe 0.5000 0.5000 0.5000
Se 0.0000 0.0000 0.5000
Se 0.5000 0.0000 0.0000
Se 0.0000 0.5000 0.0000

Calculated values
spin magnetization	0.0002	μB/atom
ΔE_f (raw)	1.446	eV/atom
crystal system	cubic
raw total energy	-4.18	eV per atom
energy above the most stable polymorph in this dataset	0	meV per atom


No. 4
Zn2Fe4N | PBE | optimized geometry

a b c (Å): 3.6693 3.6693 6.8254
angles (deg): 74.41 74.41 90.00
Element x y z (fractional)
Fe 0.0000 0.5000 0.0000
Fe 0.5000 0.0000 0.0000
Fe 0.8463 0.8463 0.3074
Fe 0.1537 0.1537 0.6926
Zn 0.3503 0.3503 0.2994
Zn 0.6497 0.6497 0.7006
N 0.0000 0.0000 0.0000

Calculated values
spin magnetization	0.8799	μB/atom
ΔE_f (raw)	0.132	eV/atom
crystal system	tetragonal
raw total energy	-6.26	eV per atom


No. 5
ScTe2IrBr | PBE | optimized geometry

a b c (Å): 5.5964 4.9097 5.5964
angles (deg): 90.00 90.00 90.00
Element x y z (fractional)
Sc 0.0000 0.0000 0.0000
Ir 0.5000 0.5000 0.5000
Te 0.5000 0.0000 0.0000
Te 0.0000 0.0000 0.5000
Br 0.0000 0.5000 0.0000

Calculated values
spin magnetization	0.4211	μB/atom
ΔE_f (raw)	0.518	eV/atom
crystal system	tetragonal
raw total energy	-4.11	eV per atom


No. 6
TlSi2Se | PBE | optimized geometry

a b c (Å): 4.8280 4.8280 3.6596
angles (deg): 90.00 90.00 92.94
Element x y z (fractional)
Se 0.0000 0.5000 0.5000
Si 0.0000 0.0000 0.0000
Si 0.5000 0.5000 0.0000
Tl 0.5000 0.0000 0.5000

Calculated values
spin magnetization	0.0000	μB/atom
ΔE_f (raw)	0.594	eV/atom
crystal system	orthorhombic
raw total energy	-3.58	eV per atom
energy above the most stable polymorph in this dataset	449	meV per atom


Q: Which of these has the lowest raw total energy?
A: Zn2Fe4N


Q: Which formula does entry 6 have?
A: TlSi2Se


What did the sixth record say?
TlSi2Se | PBE | optimized geometry

a b c (Å): 4.8280 4.8280 3.6596
angles (deg): 90.00 90.00 92.94
Element x y z (fractional)
Se 0.0000 0.5000 0.5000
Si 0.0000 0.0000 0.0000
Si 0.5000 0.5000 0.0000
Tl 0.5000 0.0000 0.5000

Calculated values
spin magnetization	0.0000	μB/atom
ΔE_f (raw)	0.594	eV/atom
crystal system	orthorhombic
raw total energy	-3.58	eV per atom
energy above the most stable polymorph in this dataset	449	meV per atom